Record 1
A geometry-optimized TlVCr2As structure, computed with PBE.

- VASP energy (eV per atom) = -6.2677

Lattice parameters (Å, degrees): 4.748 4.687 4.748 90.00 90.00 90.00
Element x y z (fractional)
Tl (0.500, 0.500, 0.500)
Cr (0.500, 0.000, 0.000)
V (0.000, 0.000, 0.000)
Cr (0.000, 0.000, 0.500)
As (0.000, 0.500, 0.000)

Record 2
A geometry-optimized Pr3NdHo6 structure, computed with PBE.

- E above lowest polymorph (eV/f.u.) = 0.00
- VASP energy (eV per atom) = -4.5088

Lattice parameters (Å, degrees): 6.349 11.002 11.002 119.60 90.00 90.00
Element x y z (fractional)
Ho (0.147, 0.726, 0.274)
Nd (0.132, 0.196, 0.804)
Ho (0.376, 0.960, 0.040)
Ho (0.374, 0.532, 0.952)
Nd (0.632, 0.804, 0.196)
Ho (0.543, 0.620, 0.713)
Ho (0.876, 0.040, 0.960)
Pr (0.569, 0.611, 0.389)
Ho (0.043, 0.713, 0.620)
Pr (0.464, 0.289, 0.064)
Ho (0.543, 0.287, 0.380)
Ho (0.874, 0.468, 0.048)
Ho (0.874, 0.952, 0.532)
Pr (0.069, 0.389, 0.611)
Pr (0.964, 0.064, 0.289)
Ho (0.647, 0.274, 0.726)
Ho (0.374, 0.048, 0.468)
Pr (0.964, 0.711, 0.936)
Ho (0.043, 0.380, 0.287)
Pr (0.464, 0.936, 0.711)

Record 3
A geometry-optimized GdInCoPd structure, computed with PBE.

- VASP energy (eV per atom) = -7.6650

Lattice parameters (Å, degrees): 4.728 4.728 4.728 60.00 60.00 60.00
Element x y z (fractional)
Co (0.500, 0.500, 0.500)
Gd (0.750, 0.750, 0.750)
In (0.250, 0.250, 0.250)
Pd (0.000, 0.000, 0.000)

Record 4
A geometry-optimized Mn2TlH structure, computed with PBE.

- E above lowest polymorph (eV/f.u.) = 0.00
- VASP energy (eV per atom) = -5.6614

Lattice parameters (Å, degrees): 5.431 5.431 5.431 60.00 60.00 90.00
Element x y z (fractional)
Tl (0.000, 0.000, 0.000)
Mn (0.375, 0.625, 0.250)
H (0.250, 0.750, 0.500)
Tl (0.750, 0.250, 0.500)
Mn (0.875, 0.625, 0.750)
Mn (0.375, 0.125, 0.250)
H (0.500, 0.500, 0.000)
Mn (0.375, 0.625, 0.750)

Record 5
A geometry-optimized DyTm3Th3 structure, computed with PBE.

- E above lowest polymorph (eV/f.u.) = 0.00
- VASP energy (eV per atom) = -5.7164

Lattice parameters (Å, degrees): 5.794 9.400 9.400 120.00 90.00 90.00
Element x y z (fractional)
Dy (0.250, 0.667, 0.333)
Dy (0.750, 0.333, 0.667)
Th (0.750, 0.189, 0.953)
Th (0.250, 0.953, 0.764)
Tm (0.750, 0.472, 0.380)
Tm (0.250, 0.092, 0.472)
Th (0.750, 0.047, 0.236)
Tm (0.750, 0.908, 0.528)
Tm (0.250, 0.528, 0.620)
Th (0.750, 0.764, 0.811)
Th (0.250, 0.811, 0.047)
Tm (0.250, 0.380, 0.908)
Tm (0.750, 0.620, 0.092)
Th (0.250, 0.236, 0.189)

Record 6
A geometry-optimized EuCd2Hg structure, computed with PBE.

- E above lowest polymorph (eV/f.u.) = 0.11
- VASP energy (eV per atom) = -3.3639

Lattice parameters (Å, degrees): 5.224 5.224 5.224 60.00 60.00 60.00
Element x y z (fractional)
Cd (0.750, 0.750, 0.750)
Cd (0.250, 0.250, 0.250)
Hg (0.500, 0.500, 0.500)
Eu (0.000, 0.000, 0.000)

Record 7
A geometry-optimized ZrZn2Pt structure, computed with PBE.

- VASP energy (eV per atom) = -4.7304

Lattice parameters (Å, degrees): 4.586 2.927 5.125 89.95 90.00 90.00
Element x y z (fractional)
Zn (0.000, 0.749, 0.499)
Zr (0.500, 0.250, 0.250)
Pt (0.500, 0.750, 0.750)
Zn (0.000, 0.751, 0.001)

Record 8
A geometry-optimized Sc2BeTcC structure, computed with PBE.

- VASP energy (eV per atom) = -7.3883

Lattice parameters (Å, degrees): 4.465 4.465 3.946 90.00 90.00 90.00
Element x y z (fractional)
Sc (0.000, 0.500, 0.000)
C (0.000, 0.000, 0.000)
Tc (0.000, 0.000, 0.500)
Be (0.500, 0.500, 0.500)
Sc (0.500, 0.000, 0.000)

Let's list M_tot in order: 1.1396; 0.0000; 1.6138; 1.4944; 0.0000; 1.7726; 0.0000; 0.0000 μB/atom.